VASP calculation (PBE) on a relaxed structure of Ba2BeTcI.

- mass density (g/cm3) = 4.1
- total energy (Ry/atom) = -0.222
- M_tot (Bohr magnetons per cell) = 0.00

Unit cell a=6.5141 b=6.5141 c=4.8752 alpha=90.00 beta=90.00 gamma=90.00
Closest atoms and distances in Å follow each position.
Space group P4/mmm (No. 123)
Inequivalent atoms, fractional coordinates:
Ba: 0.0000 0.5000 0.0000 [2 per cell]  2 I 3.26
Be: 0.0000 0.0000 0.5000 [1 per cell]  8 Ba 4.07
Tc: 0.5000 0.5000 0.5000 [1 per cell]  2 I 2.44
I: 0.5000 0.5000 0.0000 [1 per cell]  2 Tc 2.44

VASP calculation (PBE) on a relaxed structure of BaBeTeI2.

- mass density (g/cm3) = 5.4
- total energy (Ry/atom) = -0.230
- M_tot (Bohr magnetons per cell) = 0.00
- offset from the most stable computed form (eV/atom) = 0.000

Unit cell a=5.4729 b=5.4729 c=5.3866 alpha=90.00 beta=90.00 gamma=90.00
Closest atoms and distances in Å follow each position.
Space group P4/mmm (No. 123)
Inequivalent atoms, fractional coordinates:
Ba: 0.0000 0.0000 0.0000 [1 per cell]  8 I 3.84, 4 Te 3.87
Be: 0.5000 0.5000 0.5000 [1 per cell]  2 Te 2.69, 4 I 2.74
Te: 0.5000 0.5000 0.0000 [1 per cell]  2 Be 2.69
I: 0.0000 0.5000 0.5000 [2 per cell]  2 Be 2.74

VASP calculation (PBE) on a relaxed structure of BaBeTeI2.

- mass density (g/cm3) = 2.7
- total energy (Ry/atom) = -0.163
- M_tot (Bohr magnetons per cell) = 2.03
- offset from the most stable computed form (eV/atom) = 0.904

Unit cell a=6.7263 b=6.7263 c=7.1057 alpha=90.00 beta=90.00 gamma=90.00
Closest atoms and distances in Å follow each position.
Space group P4/mmm (No. 123)
Inequivalent atoms, fractional coordinates:
Ba: 0.0000 0.0000 0.0000 [1 per cell]  4 I 3.36, 2 Te 3.55
Be: 0.5000 0.5000 0.5000 [1 per cell]  4 Te 4.76, 8 I 4.89
Te: 0.0000 0.0000 0.5000 [1 per cell]  2 Ba 3.55
I: 0.0000 0.5000 0.0000 [2 per cell]  2 Ba 3.36

VASP calculation (PBE) on a relaxed structure of BaBeZnI2.

- mass density (g/cm3) = 3.8
- total energy (Ry/atom) = -0.129
- M_tot (Bohr magnetons per cell) = 0.00

Unit cell a=5.8141 b=5.8141 c=6.0313 alpha=90.00 beta=90.00 gamma=90.00
Closest atoms and distances in Å follow each position.
Space group P4/mmm (No. 123)
Inequivalent atoms, fractional coordinates:
Ba: 0.0000 0.0000 0.0000 [1 per cell]  2 Zn 3.02
Be: 0.5000 0.5000 0.0000 [1 per cell]  4 Ba 4.11, 8 I 4.19
Zn: 0.0000 0.0000 0.5000 [1 per cell]  4 I 2.91, 2 Ba 3.02
I: 0.0000 0.5000 0.5000 [2 per cell]  2 Zn 2.91

VASP calculation (PBE) on a relaxed structure of BaBeIn2.

- mass density (g/cm3) = 5.7
- calculated formation energy (eV per atom) = 0.13
- total energy (Ry/atom) = -0.195
- M_tot (Bohr magnetons per cell) = 0.00

Unit cell a=3.6254 b=3.8123 c=7.8644 alpha=90.00 beta=90.00 gamma=90.00
Closest atoms and distances in Å follow each position.
Space group Pmm2 (No. 25)
Inequivalent atoms, fractional coordinates:
Ba: 0.0000 0.0000 0.0000 [1 per cell]  5 In 3.43-3.68, 4 Ba 3.63-3.81, 4 Be 3.63
Be: 0.5000 0.5000 0.6824 [1 per cell]  5 In 2.79-2.80
In: 0.0000 0.0000 0.5634 [1 per cell]  4 Be 2.79
In: 0.5000 0.5000 0.3264 [1 per cell]  1 Be 2.80

VASP calculation (PBE) on a relaxed structure of BaBe2In.

- mass density (g/cm3) = 4.8
- calculated formation energy (eV per atom) = 0.15
- total energy (Ry/atom) = -0.211
- M_tot (Bohr magnetons per cell) = 0.00

Unit cell a=7.1862 b=4.1482 c=6.7394 alpha=90.00 beta=111.07 gamma=90.00
Closest atoms and distances in Å follow each position.
Space group Cm (No. 8)
Inequivalent atoms, fractional coordinates:
Ba: 0.0000 0.0000 0.0000 [2 per cell]  7 Be 3.52-3.70, 4 In 3.58-3.62
Be: 0.3024 0.5000 0.4109 [2 per cell]  3 Be 2.39-2.40, 3 In 2.59-2.60
Be: 0.4717 0.0000 0.4194 [2 per cell]  3 Be 2.39-2.40, 3 In 2.58
In: 0.1892 0.0000 0.5700 [2 per cell]  6 Be 2.58-2.60

VASP calculation (PBE) on a relaxed structure of BaBe2In.

- mass density (g/cm3) = 4.2
- calculated formation energy (eV per atom) = 0.27
- total energy (Ry/atom) = -0.203
- M_tot (Bohr magnetons per cell) = 0.00

Unit cell a=4.3699 b=4.3985 c=5.5156 alpha=90.00 beta=90.00 gamma=90.00
Closest atoms and distances in Å follow each position.
Space group Pmmm (No. 47)
Inequivalent atoms, fractional coordinates:
Ba: 0.0000 0.0000 0.0000 [1 per cell]  4 In 3.52, 8 Be 3.69
Be: 0.2482 0.5000 0.5000 [2 per cell]  2 Be 2.17-2.20
In: 0.5000 0.0000 0.5000 [1 per cell]  4 Be 2.46

VASP calculation (PBE) on a relaxed structure of BaBe2In.

- mass density (g/cm3) = 4.4
- calculated formation energy (eV per atom) = 0.43
- total energy (Ry/atom) = -0.191
- M_tot (Bohr magnetons per cell) = 0.00

Unit cell a=4.4320 b=6.2586 c=7.3554 alpha=90.00 beta=90.00 gamma=90.00
Closest atoms and distances in Å follow each position.
Space group Immm (No. 71)
Inequivalent atoms, fractional coordinates:
Ba: 0.0000 0.0000 0.0000 [2 per cell]  8 Be 3.32-3.40, 2 In 3.68
Be: 0.0000 0.5000 0.1496 [4 per cell]  1 Be 2.20
In: 0.0000 0.0000 0.5000 [2 per cell]  4 Be 2.47

VASP calculation (PBE) on a relaxed structure of BaBe2In.

- mass density (g/cm3) = 4.8
- calculated formation energy (eV per atom) = 0.17
- total energy (Ry/atom) = -0.210
- M_tot (Bohr magnetons per cell) = 1.28

Unit cell a=7.3730 b=4.2462 c=6.4753 alpha=90.00 beta=112.17 gamma=90.00
Closest atoms and distances in Å follow each position.
Space group C2/m (No. 12)
Inequivalent atoms, fractional coordinates:
Ba: 0.0000 0.0000 0.0000 [2 per cell]  8 Be 3.34-3.62
Be: 0.1863 0.0000 0.5571 [4 per cell]  3 In 2.48, 3 Be 2.54-2.56
In: 0.0000 0.5000 0.5000 [2 per cell]  6 Be 2.48

VASP calculation (PBE) on a relaxed structure of BaBeIn2.

- mass density (g/cm3) = 5.5
- calculated formation energy (eV per atom) = -0.06
- total energy (Ry/atom) = -0.209
- M_tot (Bohr magnetons per cell) = 0.00

Unit cell a=7.7709 b=4.4804 c=7.0557 alpha=90.00 beta=111.51 gamma=90.00
Closest atoms and distances in Å follow each position.
Space group Cm (No. 8)
Inequivalent atoms, fractional coordinates:
Ba: 0.0000 0.0000 0.0000 [2 per cell]  6 In 3.55-3.59, 4 Be 3.77-3.81
Be: 0.1921 0.0000 0.5740 [2 per cell]  6 In 2.61-2.92
In: 0.0413 0.5000 0.6220 [2 per cell]  3 Be 2.61
In: 0.2905 0.5000 0.3709 [2 per cell]  3 Be 2.91-2.92, 3 In 3.07

VASP calculation (PBE) on a relaxed structure of BaBeIn.

- mass density (g/cm3) = 4.3
- calculated formation energy (eV per atom) = 0.52
- total energy (Ry/atom) = -0.167
- M_tot (Bohr magnetons per cell) = 3.37
- offset from the most stable computed form (eV/atom) = 0.477

Unit cell a=7.3931 b=7.3931 c=7.3931 alpha=90.00 beta=90.00 gamma=90.00
Closest atoms and distances in Å follow each position.
Space group F-43m (No. 216)
Inequivalent atoms, fractional coordinates:
Ba: 0.0000 0.0000 0.0000 [4 per cell]  4 In 3.20
Be: 0.0000 0.0000 0.5000 [4 per cell]  4 In 3.20
In: 0.2500 0.2500 0.7500 [4 per cell]  4 Ba 3.20, 4 Be 3.20

VASP calculation (PBE) on a relaxed structure of BaBeIn2.

- mass density (g/cm3) = 5.5
- calculated formation energy (eV per atom) = 0.29
- total energy (Ry/atom) = -0.183
- M_tot (Bohr magnetons per cell) = 0.00

Unit cell a=4.5541 b=4.8852 c=5.1253 alpha=90.00 beta=90.00 gamma=90.00
Closest atoms and distances in Å follow each position.
Space group Pmmm (No. 47)
Inequivalent atoms, fractional coordinates:
Ba: 0.0000 0.0000 0.0000 [1 per cell]  4 Be 3.34, 8 In 3.43-3.54
Be: 0.5000 0.5000 0.0000 [1 per cell]  4 Ba 3.34, 8 In 3.43-3.54
In: 0.0000 0.5000 0.5000 [1 per cell]  4 In 3.34, 4 Be 3.43, 4 Ba 3.54
In: 0.5000 0.0000 0.5000 [1 per cell]  4 In 3.34, 4 Ba 3.43, 4 Be 3.54

VASP calculation (PBE) on a relaxed structure of BaBe2In.

- mass density (g/cm3) = 5.3
- calculated formation energy (eV per atom) = 0.42
- total energy (Ry/atom) = -0.191
- M_tot (Bohr magnetons per cell) = 0.00

Unit cell a=3.2280 b=3.2460 c=8.0128 alpha=90.00 beta=90.00 gamma=90.00
Closest atoms and distances in Å follow each position.
Space group Pmm2 (No. 25)
Inequivalent atoms, fractional coordinates:
Ba: 0.0000 0.0000 0.0000 [1 per cell]  4 Ba 3.23-3.25, 5 Be 3.23-3.41
Be: 0.0000 0.0000 0.4036 [1 per cell]  4 Be 2.40
Be: 0.5000 0.5000 0.3155 [1 per cell]  4 Be 2.40, 1 In 2.59
In: 0.5000 0.5000 0.6388 [1 per cell]  1 Be 2.59

VASP calculation (PBE) on a relaxed structure of BaBe4In.

- mass density (g/cm3) = 4.5
- calculated formation energy (eV per atom) = 0.65
- total energy (Ry/atom) = -0.192
- M_tot (Bohr magnetons per cell) = 0.00

Unit cell a=7.5072 b=7.5072 c=7.5072 alpha=90.00 beta=90.00 gamma=90.00
Closest atoms and distances in Å follow each position.
Space group F-43m (No. 216)
Inequivalent atoms, fractional coordinates:
Ba: 0.0000 0.0000 0.0000 [4 per cell]  12 Be 3.15, 4 In 3.25
Be: 0.1107 0.1107 0.6107 [16 per cell]  3 Be 2.35
In: 0.2500 0.2500 0.2500 [4 per cell]  12 Be 3.09, 4 Ba 3.25

VASP calculation (PBE) on a relaxed structure of BaBeIn2.

- mass density (g/cm3) = 5.7
- calculated formation energy (eV per atom) = 0.19
- total energy (Ry/atom) = -0.191
- M_tot (Bohr magnetons per cell) = 0.00

Unit cell a=7.5795 b=7.5795 c=7.5795 alpha=90.00 beta=90.00 gamma=90.00
Closest atoms and distances in Å follow each position.
Space group F-43m (No. 216)
Inequivalent atoms, fractional coordinates:
Ba: 0.0000 0.0000 0.0000 [4 per cell]  4 Be 3.28, 4 In 3.28
Be: 0.2500 0.2500 0.2500 [4 per cell]  4 Ba 3.28, 4 In 3.28
In: 0.0000 0.0000 0.5000 [4 per cell]  4 In 3.28, 4 Be 3.28
In: 0.2500 0.2500 0.7500 [4 per cell]  4 Ba 3.28, 4 In 3.28

VASP calculation (PBE) on a relaxed structure of BaBeIn2.

- mass density (g/cm3) = 5.5
- calculated formation energy (eV per atom) = -0.07
- total energy (Ry/atom) = -0.209
- M_tot (Bohr magnetons per cell) = 0.00

Unit cell a=4.4535 b=4.4535 c=19.9878 alpha=90.00 beta=90.00 gamma=120.00
Closest atoms and distances in Å follow each position.
Space group R-3m (No. 166, hexagonal axes)
Inequivalent atoms, fractional coordinates:
Ba: 0.0000 0.0000 0.0000 [3 per cell]  6 In 3.56
Be: 0.0000 0.0000 0.5000 [3 per cell]  6 In 2.72
In: 0.0000 0.0000 0.2103 [6 per cell]  3 Be 2.72

VASP calculation (PBE) on a relaxed structure of BaBeIn2.

- mass density (g/cm3) = 6.0
- calculated formation energy (eV per atom) = 0.12
- total energy (Ry/atom) = -0.196
- M_tot (Bohr magnetons per cell) = 0.00

Unit cell a=3.5728 b=3.5728 c=8.1813 alpha=90.00 beta=90.00 gamma=90.00
Closest atoms and distances in Å follow each position.
Space group P4/mmm (No. 123)
Inequivalent atoms, fractional coordinates:
Ba: 0.0000 0.0000 0.0000 [1 per cell]  4 Ba 3.57, 8 In 3.63
Be: 0.0000 0.0000 0.5000 [1 per cell]  8 In 2.93
In: 0.5000 0.5000 0.3185 [2 per cell]  4 Be 2.93, 1 In 2.97

VASP calculation (PBE) on a relaxed structure of BaBeIn.

- mass density (g/cm3) = 4.8
- calculated formation energy (eV per atom) = 0.04
- total energy (Ry/atom) = -0.202
- M_tot (Bohr magnetons per cell) = 0.00
- offset from the most stable computed form (eV/atom) = 0.000

Unit cell a=4.4098 b=4.4098 c=5.3182 alpha=90.00 beta=90.00 gamma=120.00
Closest atoms and distances in Å follow each position.
Space group P-6m2 (No. 187)
Inequivalent atoms, fractional coordinates:
Ba: 0.0000 0.0000 0.0000 [1 per cell]  6 In 3.68, 6 Be 3.68
Be: 0.6667 0.3333 0.5000 [1 per cell]  3 In 2.55
In: 0.3333 0.6667 0.5000 [1 per cell]  3 Be 2.55

VASP calculation (PBE) on a relaxed structure of Ba2BeIn2.

- mass density (g/cm3) = 5.4
- calculated formation energy (eV per atom) = 0.07
- total energy (Ry/atom) = -0.186
- M_tot (Bohr magnetons per cell) = 0.00

Unit cell a=7.4426 b=7.4426 c=5.7369 alpha=90.00 beta=90.00 gamma=90.00
Closest atoms and distances in Å follow each position.
Space group P4/mbm (No. 127)
Inequivalent atoms, fractional coordinates:
Ba: 0.1665 0.3335 0.0000 [4 per cell]  6 In 3.46-3.71, 1 Ba 3.51
Be: 0.0000 0.0000 0.5000 [2 per cell]  4 In 2.84
In: 0.1492 0.6492 0.5000 [4 per cell]  2 Be 2.84, 1 In 3.14

VASP calculation (PBE) on a relaxed structure of BaBeIn3.

- mass density (g/cm3) = 2.8
- calculated formation energy (eV per atom) = 1.38
- total energy (Ry/atom) = -0.102
- M_tot (Bohr magnetons per cell) = 0.00
- offset from the most stable computed form (eV/atom) = 1.387

Unit cell a=6.6014 b=6.6014 c=6.6014 alpha=90.00 beta=90.00 gamma=90.00
Closest atoms and distances in Å follow each position.
Space group Pm-3m (No. 221)
Inequivalent atoms, fractional coordinates:
Ba: 0.0000 0.0000 0.0000 [1 per cell]  6 In 3.30
Be: 0.5000 0.5000 0.5000 [1 per cell]  12 In 4.67
In: 0.0000 0.0000 0.5000 [3 per cell]  2 Ba 3.30

| no. | Fermi-level density of states (states/eV/cell) |
| --- | --- |
| 1 | 4.97 |
| 2 | 1.10 |
| 3 | 5.60 |
| 4 | 2.49 |
| 5 | 1.28 |
| 6 | 4.99 |
| 7 | 2.08 |
| 8 | 5.57 |
| 9 | 4.13 |
| 10 | 4.23 |
| 11 | 17.68 |
| 12 | 3.26 |
| 13 | 1.69 |
| 14 | 5.26 |
| 15 | 7.21 |
| 16 | 4.96 |
| 17 | 3.13 |
| 18 | 1.94 |
| 19 | 7.99 |
| 20 | 13.01 |